*A*
This record from Alexandria describes a relaxed structure of AcPrGa4. The functional is PBE.

abc: 5.7789 5.7789 5.7789
angles: 60.00 60.00 60.00
With the nearest neighbours (Å) after each atom.
Fractional coordinates of all 6 atoms:
Pr 0.0000 0.0000 0.0000  12 Ga 3.39, 4 Ac 3.54
Ac 0.2500 0.2500 0.2500  12 Ga 3.39, 4 Pr 3.54
Ga 0.1242 0.6253 0.6253  6 Ga 2.88-2.90
Ga 0.6253 0.6253 0.1241  6 Ga 2.88-2.90
Ga 0.6253 0.1241 0.6253  6 Ga 2.88-2.90
Ga 0.6253 0.6253 0.6253  6 Ga 2.88-2.90

Computed properties:
For the density of states at the Fermi level, the calculation gives 3.59 states/eV per cell. Its crystal system is cubic. As for the space-group type: F-43m.

*B*
This record from Alexandria describes a relaxed structure of AcPrGa4. The functional is PBE.

abc: 4.4168 4.4168 8.2135
angles: 105.60 105.60 90.00
With the nearest neighbours (Å) after each atom.
Fractional coordinates of all 6 atoms:
Ac 0.0000 0.0000 0.0000  12 Ga 3.38
Ga 0.6687 0.1687 0.3373  3 Ga 2.47-2.54
Ga 0.8313 0.3313 0.6627  3 Ga 2.47-2.54
Ga 0.4143 0.4143 0.8285  3 Ga 2.54-2.61
Ga 0.5857 0.5857 0.1715  3 Ga 2.54-2.61
Pr 0.2500 0.7500 0.5000  12 Ga 3.33-3.36

Computed properties:
For the density of states at the Fermi level, the calculation gives 4.39 states/eV per cell. Its crystal system is tetragonal. As for the space-group type: I-4m2.

The least stable of them is *A*.

*A*
This record from Alexandria describes a relaxed structure of AcPrGaRh. The functional is PBE.

abc: 4.1532 4.4254 6.3106
angles: 90.00 109.21 90.00
With the nearest neighbours (Å) after each atom.
Fractional coordinates of all 4 atoms:
Pr 0.0219 0.0000 0.0437  2 Rh 3.03, 4 Ga 3.12
Ga 0.4609 0.5000 0.9218  2 Rh 2.66
Ac 0.7505 0.5000 0.5011  4 Rh 3.20, 3 Ga 3.26-3.45
Rh 0.3363 0.0000 0.6726  2 Ga 2.66

Computed properties:
For the density of states at the Fermi level, the calculation gives 3.93 states/eV per cell. Its crystal system is orthorhombic. As for the space-group type: Amm2.

*B*
This record from Alexandria describes a relaxed structure of AcPrGaRh. The functional is PBE.

abc: 5.2886 5.2886 5.2886
angles: 60.00 60.00 60.00
With the nearest neighbours (Å) after each atom.
Fractional coordinates of all 4 atoms:
Pr 0.5000 0.5000 0.5000  4 Ga 3.24, 4 Rh 3.24
Ga 0.2500 0.2500 0.2500  4 Ac 3.24, 4 Pr 3.24
Ac 0.0000 0.0000 0.0000  4 Rh 3.24, 4 Ga 3.24
Rh 0.7500 0.7500 0.7500  4 Ac 3.24, 4 Pr 3.24

Computed properties:
For the density of states at the Fermi level, the calculation gives 2.99 states/eV per cell. Its crystal system is cubic. As for the space-group type: F-43m.

The least stable of them is *B*.

*A*
This record from Alexandria describes a relaxed structure of AcPrGaRu. The functional is PBE.

abc: 4.5491 4.3019 5.9388
angles: 90.00 112.52 90.00
With the nearest neighbours (Å) after each atom.
Fractional coordinates of all 4 atoms:
Ac 0.1490 0.0000 0.2980  3 Ru 3.06-3.33, 4 Ga 3.29
Ga 0.5580 0.5000 0.1159  2 Ru 2.58
Pr 0.8651 0.5000 0.7303  3 Ga 3.11-3.37, 4 Ru 3.21
Ru 0.4279 0.0000 0.8558  2 Ga 2.58

Computed properties:
For the density of states at the Fermi level, the calculation gives 3.80 states/eV per cell. Its crystal system is orthorhombic. As for the space-group type: Amm2.

*B*
This record from Alexandria describes a relaxed structure of AcPrGaRu. The functional is PBE.

abc: 5.2632 5.2632 5.2632
angles: 60.00 60.00 60.00
With the nearest neighbours (Å) after each atom.
Fractional coordinates of all 4 atoms:
Ac 0.5000 0.5000 0.5000  4 Ga 3.22, 4 Ru 3.22
Pr 0.0000 0.0000 0.0000  4 Ru 3.22, 4 Ga 3.22
Ru 0.7500 0.7500 0.7500  4 Ac 3.22, 4 Pr 3.22
Ga 0.2500 0.2500 0.2500  4 Ac 3.22, 4 Pr 3.22

Computed properties:
For the density of states at the Fermi level, the calculation gives 2.81 states/eV per cell. Its crystal system is cubic. As for the space-group type: F-43m.

The least stable of them is *B*.

*A*
This record from Alexandria describes a relaxed structure of AcPrGaSn. The functional is PBE.

abc: 4.7580 4.3579 6.4838
angles: 90.00 111.53 90.00
With the nearest neighbours (Å) after each atom.
Fractional coordinates of all 4 atoms:
Ga 0.5754 0.5000 0.1508  2 Sn 2.84
Sn 0.4241 0.0000 0.8482  2 Ga 2.84
Pr 0.8596 0.5000 0.7193  4 Sn 3.32, 3 Ga 3.43-3.53
Ac 0.1409 0.0000 0.2817  4 Ga 3.32, 3 Sn 3.42-3.54

Computed properties:
For the density of states at the Fermi level, the calculation gives 3.45 states/eV per cell. Its crystal system is orthorhombic. As for the space-group type: Amm2.

*B*
This record from Alexandria describes a relaxed structure of AcPrGaSn. The functional is PBE.

abc: 5.5597 5.5597 5.5597
angles: 60.00 60.00 60.00
With the nearest neighbours (Å) after each atom.
Fractional coordinates of all 4 atoms:
Pr 0.0000 0.0000 0.0000  4 Sn 3.40, 4 Ga 3.40
Ac 0.5000 0.5000 0.5000  4 Ga 3.40, 4 Sn 3.40
Ga 0.7500 0.7500 0.7500  4 Ac 3.40, 4 Pr 3.40
Sn 0.2500 0.2500 0.2500  4 Ac 3.40, 4 Pr 3.40

Computed properties:
For the density of states at the Fermi level, the calculation gives 2.25 states/eV per cell. Its crystal system is cubic. As for the space-group type: F-43m.

The least stable of them is *B*.

*A*
This record from Alexandria describes a relaxed structure of AcGaPt3. The functional is PBE.

abc: 4.8441 5.9418 7.7218
angles: 90.00 90.00 90.00
With the nearest neighbours (Å) after each atom.
Fractional coordinates of all 10 atoms:
Pt 0.0000 0.2508 0.7496  2 Ga 2.44
Pt 0.5000 0.5000 0.0000  2 Ga 2.42
Pt 0.0000 0.7508 0.7504  2 Ga 2.44
Pt 0.0000 0.7492 0.2504  2 Ga 2.44
Pt 0.5000 0.0000 0.5000  2 Ga 2.42
Pt 0.0000 0.2492 0.2496  2 Ga 2.44
Ac 0.5000 0.5000 0.5000  2 Pt 2.97
Ac 0.5000 0.0000 0.0000  2 Pt 2.97
Ga 0.0000 0.5000 0.0000  6 Pt 2.42-2.44
Ga 0.0000 0.0000 0.5000  6 Pt 2.42-2.44

Computed properties:
For the density of states at the Fermi level, the calculation gives 4.74 states/eV per cell. Its crystal system is orthorhombic. As for the space-group type: Pbam.

*B*
This record from Alexandria describes a relaxed structure of AcGaPt3. The functional is PBE.

abc: 4.2741 4.2739 6.3647
angles: 70.45 70.44 90.00
With the nearest neighbours (Å) after each atom.
Fractional coordinates of all 5 atoms:
Ga 0.0255 0.8290 0.6541  5 Pt 2.45-2.52
Pt 0.1446 0.4473 0.4169  2 Ga 2.52, 2 Pt 2.81
Pt 0.8075 0.6109 0.0907  1 Ga 2.45
Pt 0.6439 0.9481 0.4169  2 Ga 2.52, 2 Pt 2.81
Ac 0.3864 0.1899 0.9324  8 Pt 3.15-3.46, 4 Ga 3.40

Computed properties:
For the density of states at the Fermi level, the calculation gives 2.18 states/eV per cell. Its crystal system is orthorhombic. As for the space-group type: Fmm2.

The least stable of them is *A*.

*A*
This record from Alexandria describes a relaxed structure of AcGaPt4. The functional is PBE.

abc: 4.0954 7.2079 7.8105
angles: 90.00 90.00 90.00
With the nearest neighbours (Å) after each atom.
Fractional coordinates of all 12 atoms:
Pt 0.5000 0.9688 0.7500  2 Ga 2.70, 6 Pt 2.84-2.89
Pt 0.5000 0.3076 0.9481  2 Ga 2.65, 2 Pt 2.89
Pt 0.5000 0.6924 0.0519  2 Ga 2.65, 2 Pt 2.89
Pt 0.0000 0.0000 0.5000  2 Ga 2.49
Pt 0.0000 0.0000 0.0000  2 Ga 2.49
Pt 0.5000 0.3076 0.5519  2 Ga 2.65, 2 Pt 2.89
Pt 0.5000 0.6924 0.4481  2 Ga 2.65, 2 Pt 2.89
Pt 0.5000 0.0312 0.2500  2 Ga 2.70, 6 Pt 2.84-2.89
Ac 0.0000 0.3572 0.2500  1 Ga 3.09, 8 Pt 3.12-3.23
Ac 0.0000 0.6428 0.7500  1 Ga 3.09, 8 Pt 3.12-3.23
Ga 0.0000 0.2136 0.7500  8 Pt 2.49-2.70
Ga 0.0000 0.7864 0.2500  8 Pt 2.49-2.70

Computed properties:
For the density of states at the Fermi level, the calculation gives 5.85 states/eV per cell. Its crystal system is orthorhombic. As for the space-group type: Pmma.

*B*
This record from Alexandria describes a relaxed structure of AcGaPt4. The functional is PBE.

abc: 5.5006 5.5006 5.5006
angles: 60.00 60.00 60.00
With the nearest neighbours (Å) after each atom.
Fractional coordinates of all 6 atoms:
Pt 0.6261 0.6261 0.6261  6 Pt 2.73-2.77
Pt 0.6261 0.1218 0.6261  6 Pt 2.73-2.77
Pt 0.1218 0.6261 0.6261  6 Pt 2.73-2.77
Pt 0.6261 0.6261 0.1218  6 Pt 2.73-2.77
Ga 0.0000 0.0000 0.0000  12 Pt 3.22, 4 Ac 3.37
Ac 0.2500 0.2500 0.2500  12 Pt 3.23, 4 Ga 3.37

Computed properties:
For the density of states at the Fermi level, the calculation gives 1.93 states/eV per cell. Its crystal system is cubic. As for the space-group type: F-43m.

The least stable of them is *A*.